Entry 1:
ZrSbRh: optimized geometry, GGA-PBE.

Calculated values
Energy relative to the elements, uncorrected, eV/atom: -0.46

a b c (Å): 3.251 4.124 8.730
angles (deg): 90.00 90.00 90.00
Space group Imm2 (No. 44)
One atom of each set of equivalent atoms:
1 Zr 0.000 0.000 0.000 (multiplicity 2)
2 Sb 0.000 0.000 0.329 (multiplicity 2)
3 Rh 0.000 0.000 0.659 (multiplicity 2)

---

Entry 2:
IrPb: optimized geometry, GGA-PBE.

Calculated values
Formation energy, eV/atom: 0.3963

a b c (Å): 13.322 3.133 6.894
angles (deg): 90.00 118.18 90.00
Space group Cm (No. 8)
One atom of each set of equivalent atoms:
1 Ir 0.000 0.000 0.000 (multiplicity 2)
2 Ir 0.096 0.500 0.802 (multiplicity 2)
3 Ir 0.400 0.500 0.550 (multiplicity 2)
4 Pb 0.019 0.500 0.355 (multiplicity 2)
5 Pb 0.233 0.000 0.207 (multiplicity 2)
6 Pb 0.291 0.000 0.770 (multiplicity 2)

---

Entry 3:
TaNbReRu: optimized geometry, GGA-PBE.

Calculated values
Formation energy, eV/atom: -0.3041

a b c (Å): 6.385 6.385 6.385
angles (deg): 90.00 90.00 90.00
Space group F-43m (No. 216)
One atom of each set of equivalent atoms:
1 Ta 0.000 0.000 0.000 (multiplicity 4)
2 Nb 0.000 0.000 0.500 (multiplicity 4)
3 Re 0.250 0.250 0.250 (multiplicity 4)
4 Ru 0.250 0.250 0.750 (multiplicity 4)

---

Entry 4:
MoAs2Cl: optimized geometry, GGA-PBE.

Calculated values
Energy relative to the elements, uncorrected, eV/atom: -0.10
Polymorph energy (0 for the lowest one), meV per atom: 43.4

a b c (Å): 5.914 3.402 8.428
angles (deg): 90.00 103.10 90.00
Space group C2/m (No. 12)
One atom of each set of equivalent atoms:
1 Mo 0.000 0.000 0.000 (multiplicity 2)
2 As 0.103 0.500 0.801 (multiplicity 4)
3 Cl 0.000 0.500 0.500 (multiplicity 2)

---

Entry 5:
AcPr2Al: optimized geometry, GGA-PBE.

Calculated values
Formation energy, eV/atom: 0.0413
Polymorph energy (0 for the lowest one), meV per atom: 180.1

a b c (Å): 5.2582 5.2582 17.9576
angles (deg): 90.00 90.00 120.00
Space group R3m (No. 160, hexagonal axes)
One atom of each set of equivalent atoms:
1 Ac 0.0000 0.0000 0.0000 (multiplicity 3)
2 Pr 0.0000 0.0000 0.2156 (multiplicity 3)
3 Pr 0.0000 0.0000 0.4464 (multiplicity 3)
4 Al 0.0000 0.0000 0.8056 (multiplicity 3)

---

Entry 6:
NpMnCuSn: optimized geometry, GGA-PBE.

Calculated values
Formation energy, eV/atom: 0.1276

a b c (Å): 6.646 6.646 6.646
angles (deg): 90.00 90.00 90.00
Space group F-43m (No. 216)
One atom of each set of equivalent atoms:
1 Np 0.000 0.000 0.000 (multiplicity 4)
2 Mn 0.250 0.250 0.250 (multiplicity 4)
3 Cu 0.250 0.250 0.750 (multiplicity 4)
4 Sn 0.000 0.000 0.500 (multiplicity 4)

---

Entry 7:
PmAl2Ni: optimized geometry, GGA-PBE.

Calculated values
Formation energy, eV/atom: -0.5723
Polymorph energy (0 for the lowest one), meV per atom: 30.3

a b c (Å): 15.245 6.883 5.729
angles (deg): 90.00 90.00 90.00
Space group Pnma (No. 62)
One atom of each set of equivalent atoms:
1 Pm 0.103 0.250 0.212 (multiplicity 4)
2 Pm 0.136 0.750 0.019 (multiplicity 4)
3 Al 0.045 0.059 0.699 (multiplicity 8)
4 Al 0.211 0.555 0.517 (multiplicity 8)
5 Ni 0.072 0.750 0.505 (multiplicity 4)
6 Ni 0.186 0.250 0.746 (multiplicity 4)

---

Entry 8:
SiTePt: optimized geometry, GGA-PBE.

Calculated values
Energy relative to the elements, uncorrected, eV/atom: -0.08

a b c (Å): 6.360 6.360 6.360
angles (deg): 90.00 90.00 90.00
Space group F-43m (No. 216)
One atom of each set of equivalent atoms:
1 Si 0.000 0.000 0.000 (multiplicity 4)
2 Te 0.000 0.000 0.500 (multiplicity 4)
3 Pt 0.250 0.250 0.250 (multiplicity 4)

---

Entry 9:
CdHg2Pd5Au2: optimized geometry, GGA-PBE.

Calculated values
Formation energy, eV/atom: -0.0514

a b c (Å): 9.922 9.922 3.801
angles (deg): 90.00 90.00 90.00
Space group P4/mbm (No. 127)
One atom of each set of equivalent atoms:
1 Cd 0.000 0.000 0.000 (multiplicity 2)
2 Hg 0.157 0.343 0.000 (multiplicity 4)
3 Pd 0.000 0.500 0.500 (multiplicity 2)
4 Pd 0.004 0.795 0.500 (multiplicity 8)
5 Au 0.148 0.648 0.000 (multiplicity 4)

---

Entry 10:
Si2RuAu: optimized geometry, GGA-PBE.

Calculated values
Energy relative to the elements, uncorrected, eV/atom: 0.20
Polymorph energy (0 for the lowest one), meV per atom: 399.0

a b c (Å): 6.173 6.173 6.173
angles (deg): 90.00 90.00 90.00
Space group Fm-3m (No. 225)
One atom of each set of equivalent atoms:
1 Si 0.250 0.250 0.250 (multiplicity 8)
2 Ru 0.000 0.000 0.000 (multiplicity 4)
3 Au 0.000 0.000 0.500 (multiplicity 4)

---

Entry 11:
UMoC: optimized geometry, GGA-PBE.

Calculated values
Formation energy, eV/atom: 0.0944
Polymorph energy (0 for the lowest one), meV per atom: 105.4

a b c (Å): 6.719 9.228 11.389
angles (deg): 90.00 90.00 90.00
Space group Fddd (No. 70, origin choice 2)
One atom of each set of equivalent atoms:
1 U 0.000 0.000 0.000 (multiplicity 16)
2 Mo 0.125 0.125 0.499 (multiplicity 16)
3 C 0.125 0.298 0.625 (multiplicity 16)

---

Entry 12:
AlTlTe2: optimized geometry, GGA-PBE.

Calculated values
Energy relative to the elements, uncorrected, eV/atom: -0.41

a b c (Å): 10.020 10.028 7.616
angles (deg): 90.00 130.96 90.00
Space group Cc (No. 9)
One atom of each set of equivalent atoms:
1 Al 0.000 0.125 0.000 (multiplicity 4)
2 Tl 0.426 0.123 0.000 (multiplicity 4)
3 Te 0.092 0.097 0.414 (multiplicity 4)
4 Te 0.180 0.345 0.085 (multiplicity 4)